Computed, not measured: SrSc2 at its PBEsol-relaxed geometry at the meta-GGA SCAN level of DFT.

The calculation puts the density of states at the Fermi level at 4.69 states/eV/cell. The calculation puts the formation enthalpy at 0 K at 44 kJ/mol of atoms.

The space group is P6/mmm (No. 191) and the conventional cell measures 5.5700, 5.5700 and 3.3298 Å, with angles of 90.00, 90.00 and 120.00 degrees. The asymmetric unit holds Sr at (0.0000, 0.0000, 0.0000) and Sc at (0.3333, 0.6667, 0.5000).